DFT (PBE) results for a relaxed ScCrMo4 crystal.

The structure belongs to space group F-43m (No. 216); the cell edges are 7.460, 7.460 and 7.460 Å and the angles 90.00°, 90.00° and 90.00°. The asymmetric unit holds Sc at (0.000, 0.000, 0.000), Cr at (0.250, 0.250, 0.750) and Mo at (0.125, 0.125, 0.375).

The calculation puts the density of states at the Fermi level at 25.3 states/eV/cell. For the calculated density, the calculation gives 7.69 Mg/m³. For the spin magnetization, the calculation gives 5.9 μB per cell. As for the total energy: -9.616 eV/atom. Its energy of formation is 0.26 eV per atom.